Entry from OQMD: a relaxed DyHoCu2 crystal (PBE).

Values from the calculation:
The value obtained for the formation energy is -0.267 eV per atom. As for the space group: P2_1/m. As for the distance to the lowest polymorph of the same formula: 0.000 eV/atom.

Lattice parameters (Å, degrees): 5.350 4.473 7.089 90.00 90.02 90.00
Positions (direct):
Dy 0.134 0.250 0.182
Dy 0.866 0.750 0.818
Ho 0.366 0.250 0.682
Ho 0.634 0.750 0.318
Cu 0.127 0.750 0.467
Cu 0.373 0.750 0.967
Cu 0.627 0.250 0.033
Cu 0.873 0.250 0.533



Entry from OQMD: a relaxed DyHo2Cu2 crystal (PBE).

Values from the calculation:
The value obtained for the formation energy is -0.194 eV per atom. As for the space group: C2/m.

Lattice parameters (Å, degrees): 6.930 6.930 9.664 104.27 104.27 30.70
Positions (direct):
Dy 0.149 0.149 0.381
Dy 0.851 0.851 0.619
Ho 0.134 0.134 0.990
Ho 0.412 0.412 0.338
Ho 0.588 0.588 0.662
Ho 0.866 0.866 0.010
Cu 0.257 0.257 0.775
Cu 0.462 0.462 0.859
Cu 0.538 0.538 0.141
Cu 0.743 0.743 0.225



Entry from OQMD: a relaxed DyHoCu2 crystal (PBE).

Values from the calculation:
The value obtained for the formation energy is -0.267 eV per atom. As for the space group: Pmc2_1. As for the distance to the lowest polymorph of the same formula: 0.000 eV/atom.

Lattice parameters (Å, degrees): 4.471 5.347 7.086 90.00 90.00 90.00
Positions (direct):
Dy 0.000 0.116 0.000
Dy 0.000 0.884 0.500
Ho 0.500 0.384 0.636
Ho 0.500 0.616 0.136
Cu 0.000 0.377 0.351
Cu 0.000 0.623 0.851
Cu 0.500 0.123 0.286
Cu 0.500 0.877 0.786



Entry from OQMD: a relaxed DyHoCu2 crystal (PBE).

Values from the calculation:
The value obtained for the formation energy is -0.258 eV per atom. As for the space group: Amm2. As for the distance to the lowest polymorph of the same formula: 0.009 eV/atom.

Lattice parameters (Å, degrees): 4.476 5.455 5.455 39.48 90.00 90.00
Positions (direct):
Dy 0.000 0.000 0.000
Ho 0.500 0.280 0.280
Cu 0.000 0.713 0.713
Cu 0.500 0.569 0.569



Entry from OQMD: a relaxed DyHoInCu2 crystal (PBE).

Values from the calculation:
As for the space group: Amm2. For the electronic total energy, the calculation gives -4.2548 eV/atom.

Lattice parameters (Å, degrees): 3.592 7.301 7.301 33.83 90.00 90.00
Positions (direct):
Dy 0.000 0.000 0.000
Ho 0.000 0.268 0.268
In 0.500 0.634 0.634
Cu 0.500 0.432 0.432
Cu 0.500 0.835 0.835



Entry from OQMD: a relaxed DyHoIn4Cu2 crystal (PBE).

Values from the calculation:
As for the space group: Amm2. For the electronic total energy, the calculation gives -3.7689 eV/atom.

Lattice parameters (Å, degrees): 7.321 5.779 5.779 44.75 90.00 90.00
Positions (direct):
Dy 0.000 0.000 0.000
Ho 0.500 0.145 0.145
In 0.202 0.709 0.709
In 0.298 0.436 0.436
In 0.702 0.436 0.436
In 0.798 0.709 0.709
Cu 0.000 0.283 0.283
Cu 0.500 0.862 0.862



Entry from OQMD: a relaxed Dy2HoIn3CuNi2 crystal (PBE).

Values from the calculation:
As for the space group: Amm2. For the electronic total energy, the calculation gives -4.5764 eV/atom.

Lattice parameters (Å, degrees): 3.822 7.435 7.435 120.01 90.00 90.00
Positions (direct):
Dy 0.000 0.206 0.794
Dy 0.000 0.794 0.206
Ho 0.000 0.381 0.381
In 0.500 0.052 0.052
In 0.500 0.536 0.793
In 0.500 0.793 0.536
Cu 0.000 0.793 0.793
Ni 0.500 0.127 0.460
Ni 0.500 0.460 0.127



Entry from OQMD: a relaxed DyHo2In3CuNi2 crystal (PBE).

Values from the calculation:
As for the space group: Amm2. For the electronic total energy, the calculation gives -4.5746 eV/atom.

Lattice parameters (Å, degrees): 3.827 7.448 7.448 119.99 90.00 90.00
Positions (direct):
Dy 0.000 0.000 0.000
Ho 0.000 0.413 0.825
Ho 0.000 0.825 0.413
In 0.500 0.154 0.413
In 0.500 0.413 0.154
In 0.500 0.671 0.671
Cu 0.000 0.413 0.413
Ni 0.500 0.079 0.746
Ni 0.500 0.746 0.079